Computed, not measured: a geometry-optimized TbPmBr6 structure at the GGA-PBE level of DFT.

POSCAR file:
```
TbPmBr6
1.0
3.538 -6.777 0.000
3.538 6.777 0.000
-2.053 0.000 6.776
Tb Pm Br
1 1 6
Cartesian
0.000 0.000 0.000
2.511 0.000 3.388
1.227 1.940 1.659
0.208 0.000 5.102
1.227 -1.940 1.659
3.796 1.940 5.117
4.815 0.000 1.674
3.796 -1.940 5.117
```

Raw formation energy in eV per atom: -1.8437
Crystal system: monoclinic
Uncorrected energy in eV for the cell shown: -34.17
Energy above the most stable polymorph in this dataset in eV/atom: 0.000
Space-group type: C2/m (12)
Size of the total moment in μB/f.u.: 0.000

=====

Computed, not measured: a geometry-optimized Ni2PdSe2 structure at the GGA-PBE level of DFT.

POSCAR file:
```
Ni2PdSe2
1.0
-5.306 5.306 2.828
5.306 -5.306 2.828
5.306 5.306 -2.828
Ni Pd Se
8 4 8
Cartesian
3.670 -1.636 1.414
6.942 -1.636 1.414
3.670 1.636 1.414
6.942 1.636 1.414
-1.636 3.670 1.414
1.636 3.670 1.414
-1.636 6.942 1.414
1.636 6.942 1.414
0.000 0.000 0.000
5.306 0.000 0.000
0.000 5.306 0.000
0.000 0.000 2.828
2.600 0.000 0.000
8.012 0.000 0.000
0.000 2.600 0.000
3.512 3.512 0.000
1.794 -1.794 2.828
-1.794 1.794 2.828
1.794 1.794 2.828
0.000 8.012 0.000
```

Raw formation energy in eV per atom: -0.2560
Crystal system: tetragonal
Uncorrected energy in eV for the cell shown: -100.02
Energy above the most stable polymorph in this dataset in eV/atom: 0.000
Space-group type: I4/mmm (139)
Size of the total moment in μB/f.u.: 0.000

=====

Computed, not measured: a geometry-optimized NdSmTm2Au4 structure at the GGA-PBE level of DFT.

POSCAR file:
```
NdSmTm2Au4
1.0
2.564 1.480 8.410
-2.564 1.480 8.410
0.000 -2.960 8.410
Nd Sm Tm Au
1 1 2 4
Cartesian
0.000 0.000 0.000
0.000 0.000 12.615
0.000 0.000 6.298
0.000 0.000 18.932
0.000 0.000 3.186
0.000 0.000 9.506
0.000 0.000 15.724
0.000 0.000 22.044
```

Crystal system: trigonal
Uncorrected energy in eV for the cell shown: -38.11
Formation enthalpy at 0 K in eV/atom: -0.82
Space-group type: R-3m (166)
Size of the total moment in μB/f.u.: 0.000

=====

Computed, not measured: a geometry-optimized HfSc2Ga2 structure at the GGA-PBE level of DFT.

POSCAR file:
```
HfSc2Ga2
1.0
7.609 0.000 0.000
0.000 7.609 0.000
0.000 0.000 3.447
Hf Sc Ga
2 4 4
Cartesian
0.000 0.000 0.000
3.804 3.804 0.000
1.341 2.463 1.723
2.463 6.267 1.723
5.146 1.341 1.723
6.267 5.146 1.723
0.944 4.749 0.000
2.860 0.944 0.000
4.749 6.665 0.000
6.665 2.860 0.000
```

Crystal system: tetragonal
Uncorrected energy in eV for the cell shown: -61.82
Energy above the most stable polymorph in this dataset in eV/atom: 0.000
Formation enthalpy at 0 K in eV/atom: -0.45
Space-group type: P4/mbm (127)
Size of the total moment in μB/f.u.: 0.000

=====

Computed, not measured: a geometry-optimized LaNi2W structure at the GGA-PBE level of DFT.

POSCAR file:
```
LaNi2W
1.0
2.105 1.216 5.158
-2.105 1.216 5.158
0.000 -2.431 5.158
La Ni W
1 2 1
Cartesian
0.000 0.000 0.000
0.000 0.000 2.977
0.000 0.000 12.498
0.000 0.000 7.738
```

Crystal system: trigonal
Uncorrected energy in eV for the cell shown: -29.54
Energy above the most stable polymorph in this dataset in eV/atom: 0.000
Formation enthalpy at 0 K in eV/atom: -0.03
Space-group type: R-3m (166)
Size of the total moment in μB/f.u.: 0.000

=====

Computed, not measured: a geometry-optimized Ti4GeIr structure at the GGA-PBE level of DFT.

POSCAR file:
```
Ti4GeIr
1.0
4.277 0.000 0.000
0.000 4.277 0.000
0.000 0.000 6.098
Ti Ge Ir
4 1 1
Cartesian
0.000 2.138 1.475
0.000 2.138 4.624
2.138 0.000 1.475
2.138 0.000 4.624
0.000 0.000 3.049
2.138 2.138 0.000
```

Crystal system: tetragonal
Uncorrected energy in eV for the cell shown: -47.10
Formation enthalpy at 0 K in eV/atom: -0.34
Space-group type: P4/mmm (123)
Size of the total moment in μB/f.u.: 0.000